The following is a PBE-GGA calculation of a geometry-optimized Li2CuCl4 structure, from the Alexandria database.

Properties
ρ	2.44	g/cm3
raw formation energy	-1054.8	meV per atom
total moment	0.91	μB/f.u.
raw total energy	-3.242	eV per atom
excess energy over the best structure of this formula in the dataset	0.155	eV/atom

Unit cell a=4.866 b=4.866 c=7.177 alpha=70.18 beta=70.18 gamma=90.00
Site moments in Bohr magnetons follow the coordinates.
Positions (direct):
Li: 0.632 0.632 0.736  0.01
Li: 0.368 0.368 0.264  0.01
Cl: 0.815 0.815 0.369  0.09
Cl: 0.500 0.000 0.000  0.09
Cl: 0.185 0.185 0.631  0.09
Cl: 0.000 0.500 0.000  0.09
Cu: 0.000 0.000 0.000  0.48

---

The following is a PBE-GGA calculation of a geometry-optimized LiCu3Cl structure, from the Alexandria database.

Properties
ρ	4.06	g/cm3
raw formation energy	704.4	meV per atom
total moment	0.00	μB/f.u.
raw total energy	-2.505	eV per atom
excess energy over the best structure of this formula in the dataset	0.000	eV/atom

Unit cell a=4.570 b=4.570 c=4.570 alpha=90.00 beta=90.00 gamma=90.00
Positions (direct):
Cu: 0.500 0.000 0.000
Cu: 0.000 0.500 0.000
Cu: 0.000 0.000 0.500
Cl: 0.000 0.000 0.000
Li: 0.500 0.500 0.500